No. 1
Here is Rb2MgCd2 after structural relaxation from Alexandria via LeMat-Bulk. Energies are from GGA-PBE.

Cell: 8.1046 8.1046 6.0535 Å, 90.00 90.00 90.00°
Fractional coordinates of all 10 atoms:
Mg 0.0000 0.0000 0.0000
Mg 0.5000 0.5000 0.0000
Rb 0.1779 0.6779 0.5000
Rb 0.6779 0.8221 0.5000
Rb 0.8221 0.3221 0.5000
Rb 0.3221 0.1779 0.5000
Cd 0.3668 0.8668 0.0000
Cd 0.8668 0.6332 0.0000
Cd 0.6332 0.1332 0.0000
Cd 0.1332 0.3668 0.0000

Calculated values
Formation enthalpy at 0 K ... 0.050 eV per atom
Total magnetic moment ... 0.0 μB per cell
Density ... 3.51 Mg/m³
Polymorph energy (0 for the lowest one) ... 91 meV/atom



No. 2
Here is Pr3OsCl2 after structural relaxation from Alexandria via LeMat-Bulk. Energies are from GGA-PBE.

Cell: 7.1642 7.4177 7.4177 Å, 115.74 100.50 100.50°
Fractional coordinates of all 12 atoms:
Pr 0.9980 0.2244 0.3715
Pr 0.4980 0.3715 0.2244
Pr 0.0000 0.5000 0.0000
Pr 0.0020 0.7756 0.6285
Pr 0.5000 0.0000 0.5000
Pr 0.5020 0.6285 0.7756
Os 0.2500 0.5957 0.4043
Os 0.7500 0.4043 0.5957
Cl 0.2500 0.9252 0.0748
Cl 0.2500 0.2365 0.7635
Cl 0.7500 0.0748 0.9252
Cl 0.7500 0.7635 0.2365

Calculated values
Total magnetic moment ... 0.0 μB per cell
Uncorrected formation energy ... -1.007 eV/atom
Density ... 6.81 Mg/m³
Polymorph energy (0 for the lowest one) ... 0 meV/atom



No. 3
Here is Pa2ZnCu2 after structural relaxation from Alexandria via LeMat-Bulk. Energies are from GGA-PBE.

Cell: 3.1269 4.4669 6.9608 Å, 108.73 90.00 90.00°
Fractional coordinates of all 5 atoms:
Pa 0.5000 0.3907 0.7812
Pa 0.5000 0.6093 0.2188
Zn 0.0000 0.0000 0.0000
Cu 0.0000 0.7990 0.5979
Cu 0.0000 0.2010 0.4021

Calculated values
Formation enthalpy at 0 K ... -0.034 eV per atom
Total magnetic moment ... 0.0 μB per cell
Density ... 11.80 Mg/m³



No. 4
Here is Ta3Te2S4 after structural relaxation from Alexandria via LeMat-Bulk. Energies are from GGA-PBE.

Cell: 3.4025 3.4025 21.7608 Å, 90.00 90.00 120.00°
Each line ends with the local moment (μB).
Fractional coordinates of all 9 atoms:
Ta 0.0000 0.0000 0.9768  0.22
Ta 0.0000 0.0000 0.3327  0.00
Ta 0.6667 0.3333 0.6496  0.00
Te 0.6667 0.3333 0.0687  0.07
Te 0.6667 0.3333 0.8847  0.07
S 0.0000 0.0000 0.5788  0.00
S 0.6667 0.3333 0.4035  0.00
S 0.6667 0.3333 0.2616  0.00
S 0.0000 0.0000 0.7208  0.00

Calculated values
Total magnetic moment ... 0.6 μB per cell
Uncorrected formation energy ... -0.768 eV/atom
Density ... 7.05 Mg/m³



What did the second record say?
Here is Pr3OsCl2 after structural relaxation from Alexandria via LeMat-Bulk. Energies are from GGA-PBE.

Cell: 7.1642 7.4177 7.4177 Å, 115.74 100.50 100.50°
Fractional coordinates of all 12 atoms:
Pr 0.9980 0.2244 0.3715
Pr 0.4980 0.3715 0.2244
Pr 0.0000 0.5000 0.0000
Pr 0.0020 0.7756 0.6285
Pr 0.5000 0.0000 0.5000
Pr 0.5020 0.6285 0.7756
Os 0.2500 0.5957 0.4043
Os 0.7500 0.4043 0.5957
Cl 0.2500 0.9252 0.0748
Cl 0.2500 0.2365 0.7635
Cl 0.7500 0.0748 0.9252
Cl 0.7500 0.7635 0.2365

Calculated values
Total magnetic moment ... 0.0 μB per cell
Uncorrected formation energy ... -1.007 eV/atom
Density ... 6.81 Mg/m³
Polymorph energy (0 for the lowest one) ... 0 meV/atom